Entry from Alexandria: a relaxed structure of La3Co5O12 (PBE with a Hubbard U).

Cell and atoms, written as POSCAR:
```
La3Co5O12
1.0
-6.310 6.310 6.310
6.310 -6.310 6.310
6.310 6.310 -6.310
La Co O
12 20 48
Direct
0.125 0.250 0.375
0.125 0.375 0.750
0.250 0.375 0.125
0.250 0.875 0.625
0.375 0.125 0.250
0.375 0.750 0.125
0.625 0.250 0.875
0.625 0.875 0.750
0.750 0.125 0.375
0.750 0.625 0.875
0.875 0.625 0.250
0.875 0.750 0.625
0.000 0.000 0.000
0.000 0.000 0.500
0.000 0.500 0.000
0.000 0.500 0.500
0.125 0.750 0.875
0.125 0.875 0.250
0.250 0.125 0.875
0.250 0.625 0.375
0.375 0.250 0.625
0.375 0.625 0.750
0.500 0.000 0.000
0.500 0.000 0.500
0.500 0.500 0.000
0.500 0.500 0.500
0.625 0.375 0.250
0.625 0.750 0.375
0.750 0.375 0.625
0.750 0.875 0.125
0.875 0.125 0.750
0.875 0.250 0.125
0.018 0.195 0.116
0.018 0.324 0.902
0.078 0.695 0.676
0.078 0.884 0.402
0.098 0.616 0.422
0.098 0.982 0.676
0.116 0.018 0.195
0.116 0.598 0.922
0.176 0.195 0.578
0.176 0.482 0.598
0.195 0.116 0.018
0.195 0.578 0.176
0.305 0.324 0.922
0.305 0.482 0.384
0.324 0.902 0.018
0.324 0.922 0.305
0.384 0.305 0.482
0.384 0.578 0.902
0.402 0.078 0.884
0.402 0.824 0.518
0.422 0.098 0.616
0.422 0.824 0.805
0.482 0.384 0.305
0.482 0.598 0.176
0.518 0.402 0.824
0.518 0.616 0.695
0.578 0.176 0.195
0.578 0.902 0.384
0.598 0.176 0.482
0.598 0.922 0.116
0.616 0.422 0.098
0.616 0.695 0.518
0.676 0.078 0.695
0.676 0.098 0.982
0.695 0.518 0.616
0.695 0.676 0.078
0.805 0.422 0.824
0.805 0.884 0.982
0.824 0.518 0.402
0.824 0.805 0.422
0.884 0.402 0.078
0.884 0.982 0.805
0.902 0.018 0.324
0.902 0.384 0.578
0.922 0.116 0.598
0.922 0.305 0.324
0.982 0.676 0.098
0.982 0.805 0.884
```

Summary:
The calculation puts the total energy at -6.88 eV per atom. The space-group type is Ia-3d, No. 230.